No. 1
Computed, not measured: a crystal of Be3Pt relaxed with PBEsol at the SCAN level of DFT.

```
Be3Pt
1.0
3.743 2.161 0.856
-3.743 2.161 0.856
0.000 -4.322 0.856
Be Pt
3 1
direct
0.000 0.500 0.500
0.500 0.000 0.500
0.500 0.500 0.000
0.000 0.000 0.000
```

Properties
- Energy of formation: -386 meV/atom
- E: -21.1997 eV/atom
- Magnetic moment: 0.00 μB/f.u.
- Fermi-level density of states: 0.86 states/eV/f.u.



No. 2
Computed, not measured: a crystal of OsRh2 relaxed with PBEsol at the SCAN level of DFT.

```
OsRh2
1.0
4.920 -1.350 0.000
4.920 1.350 0.000
-1.562 0.000 6.156
Os Rh
2 4
direct
0.000 0.000 0.000
0.662 0.662 0.326
0.055 0.055 0.606
0.332 0.332 0.665
0.386 0.386 0.275
0.718 0.718 0.942
```

Properties
- Energy of formation: 50 meV/atom
- E: -46.4245 eV/atom
- Magnetic moment: 0.00 μB/f.u.
- ΔE to the lowest computed polymorph: 34 meV/atom
- Fermi-level density of states: 2.96 states/eV/f.u.



No. 3
Computed, not measured: a crystal of Ge2W relaxed with PBEsol at the SCAN level of DFT.

```
Ge2W
1.0
-1.652 1.652 4.097
1.652 -1.652 4.097
1.652 1.652 -4.097
Ge W
2 1
direct
0.163 0.163 0.000
0.837 0.837 0.000
0.500 0.500 0.000
```

Properties
- Energy of formation: 65 meV/atom
- E: -35.8894 eV/atom
- Magnetic moment: 0.00 μB/f.u.
- Fermi-level density of states: 0.65 states/eV/f.u.